## one
{"formula": "TiOsRuS", "functional": "GGA-PBE", "state": "relaxed", "crystal_system": "orthorhombic", "cell": [[-3.389, -0.719, 1.928], [0.829, -2.736, 0.437], [3.903, 1.729, 3.429]], "species": ["Os", "Ti", "Ru", "S"], "fractional_positions": [[0.612, 0.500, 0.952], [0.343, 0.500, 0.413], [0.013, 0.000, 0.754], [0.790, 0.000, 0.307]]}



## two
{"formula": "TiOsRuS", "functional": "GGA-PBE", "state": "relaxed", "crystal_system": "orthorhombic", "cell": [[-1.148, 0.554, -2.569], [2.197, -3.318, -1.698], [-6.889, -5.528, 1.887]], "species": ["Ru", "Ru", "Ti", "Ti", "Os", "Os", "S", "S"], "fractional_positions": [[0.500, 0.000, 0.552], [0.000, 0.500, 0.052], [0.500, 0.500, 0.768], [0.000, 0.000, 0.268], [0.500, 0.000, 0.984], [0.000, 0.500, 0.484], [0.000, 0.000, 0.769], [0.500, 0.500, 0.269]]}



The most stable arrangement is two, and the next structure is 0.031 eV/atom less stable.



## one
{"formula": "Mg2ReIr", "functional": "GGA-PBE", "state": "relaxed", "crystal_system": "orthorhombic", "cell": [[-2.319, 4.819, 0.535], [-4.107, 0.440, 3.438], [5.200, -1.080, -0.823]], "species": ["Re", "Mg", "Mg", "Ir"], "fractional_positions": [[0.750, 0.250, 0.500], [0.010, 0.010, 0.000], [0.490, 0.490, 0.000], [0.250, 0.750, 0.500]]}



## two
{"formula": "Mg2ReIr", "functional": "GGA-PBE", "state": "relaxed", "crystal_system": "tetragonal", "cell": [[-3.242, -1.361, -2.482], [2.519, -1.081, -2.697], [0.229, -3.484, 1.611]], "species": ["Ir", "Re", "Mg", "Mg"], "fractional_positions": [[0.500, 0.000, 0.500], [0.500, 0.500, 0.000], [0.000, 0.000, 0.000], [0.000, 0.500, 0.500]]}



The most stable arrangement is one, and the next structure is 0.059 eV/atom less stable.



## one
{"formula": "FeCu2Ag", "functional": "GGA-PBE", "state": "relaxed", "crystal_system": "cubic", "cell": [[2.685, -1.976, -2.645], [1.093, -4.050, 0.713], [-1.426, -3.073, -2.575]], "species": ["Fe", "Cu", "Cu", "Ag"], "fractional_positions": [[0.000, 0.000, 0.000], [0.250, 0.250, 0.250], [0.750, 0.750, 0.750], [0.500, 0.500, 0.500]]}



## two
{"formula": "FeCu2Ag", "functional": "GGA-PBE", "state": "relaxed", "crystal_system": "orthorhombic", "cell": [[2.687, 0.000, 0.000], [0.000, 3.565, 0.000], [0.000, 0.000, 5.695]], "species": ["Cu", "Cu", "Ag", "Fe"], "fractional_positions": [[0.000, 0.000, 0.026], [0.500, 0.500, 0.250], [0.500, 0.500, 0.752], [0.000, 0.000, 0.473]]}



The most stable arrangement is two, and the next structure is 0.038 eV/atom less stable.



## one
{"formula": "TbPuPa", "functional": "GGA-PBE", "state": "relaxed", "crystal_system": "hexagonal", "cell": [[3.331, 0.000, 0.000], [0.000, 5.266, 0.000], [0.000, -2.633, 4.560]], "species": ["Pa", "Pu", "Tb"], "fractional_positions": [[0.167, 0.667, 0.333], [0.167, 0.000, 0.000], [0.667, 0.333, 0.667]]}



## two
{"formula": "TbPuPa", "functional": "GGA-PBE", "state": "relaxed", "crystal_system": "tetragonal", "cell": [[-1.181, 1.567, 2.797], [-3.205, -0.486, -1.081], [1.995, -6.605, 2.454]], "species": ["Pa", "Tb", "Pu"], "fractional_positions": [[0.323, 0.323, 0.646], [0.993, 0.993, 0.986], [0.684, 0.684, 0.367]]}



The most stable arrangement is two, and the next structure is 0.101 eV/atom less stable.



## one
{"formula": "CaFeTc2", "functional": "GGA-PBE", "state": "relaxed", "crystal_system": "tetragonal", "cell": [[-0.043, -3.141, 0.199], [1.957, 0.129, 2.463], [-5.508, 0.352, 4.357]], "species": ["Fe", "Tc", "Tc", "Ca"], "fractional_positions": [[0.500, 0.500, 0.750], [0.000, 0.000, 0.575], [0.000, 0.000, 0.925], [0.500, 0.500, 0.250]]}



## two
{"formula": "CaFeTc2", "functional": "GGA-PBE", "state": "relaxed", "crystal_system": "orthorhombic", "cell": [[-2.222, -2.166, 0.337], [0.654, 0.010, 4.371], [-3.219, 3.376, 0.474]], "species": ["Fe", "Tc", "Tc", "Ca"], "fractional_positions": [[0.000, 0.500, 0.500], [0.500, 0.500, 0.000], [0.000, 0.000, 0.000], [0.500, 0.000, 0.500]]}



The most stable arrangement is one, and the next structure is 0.211 eV/atom less stable.



## one
{"formula": "BaAl2Br", "functional": "GGA-PBE", "state": "relaxed", "crystal_system": "orthorhombic", "cell": [[3.881, 0.012, 0.000], [-0.018, 3.881, 0.000], [0.000, 0.000, 9.374]], "species": ["Al", "Al", "Ba", "Br"], "fractional_positions": [[0.500, 0.500, 0.200], [0.000, 0.000, 0.129], [0.000, 0.000, 0.493], [0.500, 0.500, 0.678]]}



## two
{"formula": "BaAl2Br", "functional": "GGA-PBE", "state": "relaxed", "crystal_system": "tetragonal", "cell": [[4.158, 0.000, 0.000], [0.000, 4.158, 0.000], [0.000, 0.000, 7.176]], "species": ["Al", "Al", "Br", "Ba"], "fractional_positions": [[0.000, 0.000, 0.571], [0.000, 0.000, 0.929], [0.500, 0.500, 0.750], [0.500, 0.500, 0.250]]}



The most stable arrangement is one, and the next structure is 0.366 eV/atom less stable.